1.
An optimized crystal structure of NbNiI2O. Source: the Alexandria database, functional PBE+U.

a = 5.7297 Å, b = 5.7297 Å, c = 3.8993 Å
α = 90.00°, β = 90.00°, γ = 90.00°
Element x y z (fractional)
I1 0.0000 0.5000 0.0000
I2 0.5000 0.0000 0.0000
Nb1 0.0000 0.0000 0.0000
Ni1 0.5000 0.5000 0.5000
O1 0.0000 0.0000 0.5000

The total energy comes out at -4.123 eV per atom.

---

2.
An optimized crystal structure of NbNiI2O. Source: the Alexandria database, functional PBE+U.

a = 5.4096 Å, b = 5.4096 Å, c = 3.6018 Å
α = 90.00°, β = 90.00°, γ = 90.00°
Element x y z (fractional)
Ni1 0.0000 0.0000 0.0000
O1 0.0000 0.0000 0.5000
I1 0.0000 0.5000 0.0000
I2 0.5000 0.0000 0.0000
Nb1 0.5000 0.5000 0.5000

The total energy comes out at -3.701 eV per atom.

---

3.
An optimized crystal structure of NbNiIO2. Source: the Alexandria database, functional PBE+U.

a = 4.0275 Å, b = 4.0275 Å, c = 5.0094 Å
α = 90.00°, β = 90.00°, γ = 90.00°
Element x y z (fractional)
O1 0.5000 0.0000 0.0000
O2 0.0000 0.5000 0.0000
Nb1 0.5000 0.5000 0.5000
I1 0.0000 0.0000 0.5000
Ni1 0.0000 0.0000 0.0000

The total energy comes out at -4.435 eV per atom.

---

4.
An optimized crystal structure of NbNiIO2. Source: the Alexandria database, functional PBE+U.

a = 3.8954 Å, b = 3.8954 Å, c = 6.1012 Å
α = 90.00°, β = 90.00°, γ = 90.00°
Element x y z (fractional)
I1 0.0000 0.0000 0.5000
O1 0.0000 0.5000 0.0000
O2 0.5000 0.0000 0.0000
Ni1 0.5000 0.5000 0.5000
Nb1 0.0000 0.0000 0.0000

The total energy comes out at -5.613 eV per atom.